VASP calculation (PBE+U) on CsLiCoF6 after structural relaxation.

Lattice parameters (Å, degrees): 5.232 5.232 6.498 90.05 89.94 59.59
Site moments in Bohr magnetons follow the coordinates.
Element x y z (fractional)
Cs: 0.999 0.999 0.000  0.00
Li: 0.665 0.665 0.500  0.00
Co: 0.333 0.333 0.500  1.00
F: 0.040 0.356 0.339  0.00
F: 0.355 0.040 0.661  0.00
F: 0.599 0.363 0.663  -0.01
F: 0.035 0.610 0.659  -0.01
F: 0.363 0.599 0.337  -0.01
F: 0.610 0.035 0.341  -0.01

## Properties
For the density of states at the Fermi level, the calculation gives 0.000 states/eV per cell. The electronic total energy is -4.379 eV per atom.